1.
# GGA-PBE Sr3PuCu2O9, optimized geometry
# - volume (Å³/cell) = 196.88
# - crystal system = trigonal
# - formation energy without anion corrections (meV/atom) = -2065
data_Sr3PuCu2O9
_chemical_formula_sum 'Sr3 Pu1 Cu2 O9'
_symmetry_space_group_name_H-M 'P -3 m 1'
_symmetry_Int_Tables_number 164
_symmetry_space_group_name_Hall '-P 3 2"'
_cell_length_a 5.6479
_cell_length_b 5.6479
_cell_length_c 7.1269
_cell_angle_alpha 90.00
_cell_angle_beta 90.00
_cell_angle_gamma 120.00
loop_
_atom_site_label
_atom_site_type_symbol
_atom_site_fract_x
_atom_site_fract_y
_atom_site_fract_z
_atom_site_occupancy
Sr1 Sr 0.0000 0.0000 0.0000 1
Sr2 Sr 0.3333 0.6667 0.7153 1
Pu1 Pu 0.0000 0.0000 0.5000 1
Cu1 Cu 0.3333 0.6667 0.1556 1
O1 O 0.0000 0.5000 0.0000 1
O2 O 0.1657 0.3313 0.3331 1

2.
# GGA-PBE RbTlGaBi2, optimized geometry
# - volume (Å³/cell) = 367.76
# - crystal system = tetragonal
# - ΔE_f (kJ per mole of atoms) = -14.2
# - offset from the most stable computed form (eV per atom) = 0.000
data_RbTlGaBi2
_chemical_formula_sum 'Rb2 Tl2 Ga2 Bi4'
_symmetry_space_group_name_H-M 'I -4 m 2'
_symmetry_Int_Tables_number 119
_symmetry_space_group_name_Hall 'I -4 -2'
_cell_length_a 5.2111
_cell_length_b 5.2111
_cell_length_c 13.5428
_cell_angle_alpha 90.00
_cell_angle_beta 90.00
_cell_angle_gamma 90.00
loop_
_atom_site_label
_atom_site_type_symbol
_atom_site_fract_x
_atom_site_fract_y
_atom_site_fract_z
_atom_site_occupancy
Rb1 Rb 0.0000 0.0000 0.0000 1
Tl1 Tl 0.0000 0.5000 0.2500 1
Ga1 Ga 0.0000 0.5000 0.7500 1
Bi1 Bi 0.0000 0.0000 0.3748 1

3.
# GGA-PBE ErCdAgPd, optimized geometry
# - volume (Å³/cell) = 321.83
# - crystal system = cubic
# - ΔE_f (kJ per mole of atoms) = -47.8
data_ErCdAgPd
_chemical_formula_sum 'Er4 Cd4 Ag4 Pd4'
_symmetry_space_group_name_H-M 'F -4 3 m'
_symmetry_Int_Tables_number 216
_symmetry_space_group_name_Hall 'F -4 2 3'
_cell_length_a 6.8529
_cell_length_b 6.8529
_cell_length_c 6.8529
_cell_angle_alpha 90.00
_cell_angle_beta 90.00
_cell_angle_gamma 90.00
loop_
_atom_site_label
_atom_site_type_symbol
_atom_site_fract_x
_atom_site_fract_y
_atom_site_fract_z
_atom_site_occupancy
Er1 Er 0.0000 0.0000 0.0000 1
Cd1 Cd 0.0000 0.0000 0.5000 1
Ag1 Ag 0.2500 0.2500 0.2500 1
Pd1 Pd 0.2500 0.2500 0.7500 1

4.
# GGA-PBE YInRe, optimized geometry
# - volume (Å³/cell) = 314.87
# - crystal system = cubic
# - ΔE_f (kJ per mole of atoms) = 115.6
# - offset from the most stable computed form (eV per atom) = 0.984
data_YInRe
_chemical_formula_sum 'Y4 In4 Re4'
_symmetry_space_group_name_H-M 'F -4 3 m'
_symmetry_Int_Tables_number 216
_symmetry_space_group_name_Hall 'F -4 2 3'
_cell_length_a 6.8031
_cell_length_b 6.8031
_cell_length_c 6.8031
_cell_angle_alpha 90.00
_cell_angle_beta 90.00
_cell_angle_gamma 90.00
loop_
_atom_site_label
_atom_site_type_symbol
_atom_site_fract_x
_atom_site_fract_y
_atom_site_fract_z
_atom_site_occupancy
Y1 Y 0.0000 0.0000 0.0000 1
In1 In 0.2500 0.2500 0.2500 1
Re1 Re 0.2500 0.2500 0.7500 1

5.
# GGA-PBE YMnIn, optimized geometry
# - volume (Å³/cell) = 69.56
# - crystal system = hexagonal
# - ΔE_f (kJ per mole of atoms) = -11.5
data_YMnIn
_chemical_formula_sum 'Y1 Mn1 In1'
_symmetry_space_group_name_H-M 'P -6 m 2'
_symmetry_Int_Tables_number 187
_symmetry_space_group_name_Hall 'P -6 2'
_cell_length_a 4.7803
_cell_length_b 4.7803
_cell_length_c 3.5153
_cell_angle_alpha 90.00
_cell_angle_beta 90.00
_cell_angle_gamma 120.00
loop_
_atom_site_label
_atom_site_type_symbol
_atom_site_fract_x
_atom_site_fract_y
_atom_site_fract_z
_atom_site_occupancy
Y1 Y 0.0000 0.0000 0.0000 1
Mn1 Mn 0.3333 0.6667 0.5000 1
In1 In 0.6667 0.3333 0.5000 1

6.
# GGA-PBE ZnIn2PtF, optimized geometry
# - volume (Å³/cell) = 123.67
# - crystal system = tetragonal
# - formation energy without anion corrections (meV/atom) = -230
data_ZnIn2PtF
_chemical_formula_sum 'Zn1 In2 Pt1 F1'
_symmetry_space_group_name_H-M 'P 4/m m m'
_symmetry_Int_Tables_number 123
_symmetry_space_group_name_Hall '-P 4 2'
_cell_length_a 5.2558
_cell_length_b 5.2558
_cell_length_c 4.4769
_cell_angle_alpha 90.00
_cell_angle_beta 90.00
_cell_angle_gamma 90.00
loop_
_atom_site_label
_atom_site_type_symbol
_atom_site_fract_x
_atom_site_fract_y
_atom_site_fract_z
_atom_site_occupancy
Zn1 Zn 0.0000 0.0000 0.0000 1
In1 In 0.0000 0.5000 0.5000 1
Pt1 Pt 0.5000 0.5000 0.5000 1
F1 F 0.5000 0.5000 0.0000 1

7.
# GGA-PBE GdTmAl2, optimized geometry
# - volume (Å³/cell) = 302.92
# - crystal system = trigonal
# - ΔE_f (kJ per mole of atoms) = -15.2
# - offset from the most stable computed form (eV per atom) = 0.240
data_GdTmAl2
_chemical_formula_sum 'Gd3 Tm3 Al6'
_symmetry_space_group_name_H-M 'R -3 m'
_symmetry_Int_Tables_number 166
_symmetry_space_group_name_Hall '-R 3 2"'
_cell_length_a 3.5401
_cell_length_b 3.5401
_cell_length_c 27.9100
_cell_angle_alpha 90.00
_cell_angle_beta 90.00
_cell_angle_gamma 120.00
loop_
_atom_site_label
_atom_site_type_symbol
_atom_site_fract_x
_atom_site_fract_y
_atom_site_fract_z
_atom_site_occupancy
Gd1 Gd 0.0000 0.0000 0.0000 1
Tm1 Tm 0.0000 0.0000 0.5000 1
Al1 Al 0.0000 0.0000 0.2486 1

8.
# GGA-PBE BaSrAl2, optimized geometry
# - volume (Å³/cell) = 591.31
# - crystal system = tetragonal
# - ΔE_f (kJ per mole of atoms) = 33.3
# - offset from the most stable computed form (eV per atom) = 0.539
data_BaSrAl2
_chemical_formula_sum 'Ba4 Sr4 Al8'
_symmetry_space_group_name_H-M 'I -4 2 d'
_symmetry_Int_Tables_number 122
_symmetry_space_group_name_Hall 'I -4 2bw'
_cell_length_a 9.0976
_cell_length_b 9.0976
_cell_length_c 7.1442
_cell_angle_alpha 90.00
_cell_angle_beta 90.00
_cell_angle_gamma 90.00
loop_
_atom_site_label
_atom_site_type_symbol
_atom_site_fract_x
_atom_site_fract_y
_atom_site_fract_z
_atom_site_occupancy
Ba1 Ba 0.0000 0.0000 0.0000 1
Sr1 Sr 0.0000 0.0000 0.5000 1
Al1 Al 0.2375 0.2500 0.6250 1

9.
# GGA-PBE Ba2Sr2Pd, optimized geometry
# - volume (Å³/cell) = 250.86
# - crystal system = tetragonal
# - ΔE_f (kJ per mole of atoms) = -25.2
# - offset from the most stable computed form (eV per atom) = 0.000
data_Ba2Sr2Pd
_chemical_formula_sum 'Ba2 Sr2 Pd1'
_symmetry_space_group_name_H-M 'P 4/m m m'
_symmetry_Int_Tables_number 123
_symmetry_space_group_name_Hall '-P 4 2'
_cell_length_a 6.3759
_cell_length_b 6.3759
_cell_length_c 6.1708
_cell_angle_alpha 90.00
_cell_angle_beta 90.00
_cell_angle_gamma 90.00
loop_
_atom_site_label
_atom_site_type_symbol
_atom_site_fract_x
_atom_site_fract_y
_atom_site_fract_z
_atom_site_occupancy
Ba1 Ba 0.0000 0.5000 0.0000 1
Sr1 Sr 0.0000 0.0000 0.5000 1
Sr2 Sr 0.5000 0.5000 0.5000 1
Pd1 Pd 0.0000 0.0000 0.0000 1

10.
# GGA-PBE K3AsO, optimized geometry
# - volume (Å³/cell) = 151.06
# - crystal system = cubic
# - offset from the most stable computed form (eV per atom) = 0.000
# - formation energy without anion corrections (meV/atom) = -518
data_K3AsO
_chemical_formula_sum 'K3 As1 O1'
_symmetry_space_group_name_H-M 'P m -3 m'
_symmetry_Int_Tables_number 221
_symmetry_space_group_name_Hall '-P 4 2 3'
_cell_length_a 5.3258
_cell_length_b 5.3258
_cell_length_c 5.3258
_cell_angle_alpha 90.00
_cell_angle_beta 90.00
_cell_angle_gamma 90.00
loop_
_atom_site_label
_atom_site_type_symbol
_atom_site_fract_x
_atom_site_fract_y
_atom_site_fract_z
_atom_site_occupancy
K1 K 0.0000 0.0000 0.5000 1
As1 As 0.5000 0.5000 0.5000 1
O1 O 0.0000 0.0000 0.0000 1

11.
# GGA-PBE TbBN, optimized geometry
# - volume (Å³/cell) = 87.62
# - crystal system = tetragonal
# - offset from the most stable computed form (eV per atom) = 0.527
# - formation energy without anion corrections (meV/atom) = -711
data_TbBN
_chemical_formula_sum 'Tb2 B2 N2'
_symmetry_space_group_name_H-M 'I 4 m m'
_symmetry_Int_Tables_number 107
_symmetry_space_group_name_Hall 'I 4 -2'
_cell_length_a 3.7199
_cell_length_b 3.7199
_cell_length_c 6.3317
_cell_angle_alpha 90.00
_cell_angle_beta 90.00
_cell_angle_gamma 90.00
loop_
_atom_site_label
_atom_site_type_symbol
_atom_site_fract_x
_atom_site_fract_y
_atom_site_fract_z
_atom_site_occupancy
Tb1 Tb 0.0000 0.0000 0.0000 1
B1 B 0.0000 0.0000 0.4035 1
N1 N 0.0000 0.0000 0.6132 1

12.
# GGA-PBE Zr2Cu2Rh, optimized geometry
# - volume (Å³/cell) = 173.96
# - crystal system = monoclinic
# - ΔE_f (kJ per mole of atoms) = -30.3
# - offset from the most stable computed form (eV per atom) = 0.000
data_Zr2Cu2Rh
_chemical_formula_sum 'Zr4 Cu4 Rh2'
_symmetry_space_group_name_H-M 'C 1 2/m 1'
_symmetry_Int_Tables_number 12
_symmetry_space_group_name_Hall '-C 2y'
_cell_length_a 7.2782
_cell_length_b 4.1945
_cell_length_c 6.1962
_cell_angle_alpha 90.00
_cell_angle_beta 113.13
_cell_angle_gamma 90.00
loop_
_atom_site_label
_atom_site_type_symbol
_atom_site_fract_x
_atom_site_fract_y
_atom_site_fract_z
_atom_site_occupancy
Zr1 Zr 0.0932 0.0000 0.2795 1
Cu1 Cu 0.1610 0.5000 0.9833 1
Rh1 Rh 0.0000 0.5000 0.5000 1